Compound: Pm2Zn6Pt
Source: Alexandria
Functional: PBE-GGA
Structure: relaxed

Results
* size of the total moment: 0.0 μB per formula unit
* formation enthalpy at 0 K: -10.52 kcal/mol of atoms
* total energy: -3.03 eV/atom
* calculated density: 8.6 g/cm3

Cell lengths 5.8644, 5.8644, 5.6617 Å; angles 90.00, 90.00, 120.00 degrees
Space group P-3m1 (No. 164)
Symmetry-distinct sites (fractional):
Pm  0.3333  0.6667  0.1673 x2
Zn  0.1786  0.3573  0.6692 x6
Pt  0.0000  0.0000  0.0000 x1